1.
Below is a relaxed structure of MgPO2, with properties calculated at the PBE level.

* formation energy (no corrections): -1.05 eV per atom
* M_tot: 0.0 μB per cell
* distance to the lowest polymorph of the same formula: 648.2 meV per atom
* crystal system: tetragonal
* total DFT energy (no corrections): -5.276 eV/atom

a b c (Å): 6.3233 6.3233 6.3233
angles (deg): 139.75 139.75 58.23
Last column: nearest neighbours and their distance in Å.
Fractional positions:
Mg 0.0000 0.0000 0.0000  4 O 2.07
Mg 0.7500 0.2500 0.5000  4 O 2.07
P 0.2500 0.7500 0.5000  4 O 2.06
P 0.5000 0.5000 0.0000  4 O 2.06
O 0.1280 0.6250 0.0030  2 P 2.06, 2 Mg 2.07
O 0.3750 0.3780 0.5030  2 P 2.06, 2 Mg 2.07
O 0.6220 0.1250 0.9970  2 P 2.06, 2 Mg 2.07
O 0.8750 0.8720 0.4970  2 P 2.06, 2 Mg 2.07

---

2.
Below is a relaxed structure of Mg2PO, with properties calculated at the PBE level.

* formation energy (no corrections): -0.63 eV per atom
* M_tot: 1.0 μB per cell
* distance to the lowest polymorph of the same formula: 646.8 meV per atom
* crystal system: cubic
* total DFT energy (no corrections): -4.020 eV/atom

a b c (Å): 4.3361 4.3361 4.3361
angles (deg): 60.00 60.00 60.00
Last column: nearest neighbours and their distance in Å.
Fractional positions:
Mg 0.2500 0.2500 0.2500  4 O 2.66, 4 P 2.66
Mg 0.7500 0.7500 0.7500  4 O 2.66, 4 P 2.66
P 0.0000 0.0000 0.0000  8 Mg 2.66
O 0.5000 0.5000 0.5000  8 Mg 2.66

---

3.
Below is a relaxed structure of Mg3PO6, with properties calculated at the PBE level.

* formation energy (no corrections): -2.22 eV per atom
* M_tot: 2.1 μB per cell
* crystal system: monoclinic
* total DFT energy (no corrections): -6.218 eV/atom

a b c (Å): 4.9715 5.1790 8.7150
angles (deg): 90.00 124.27 90.00
Last column: nearest neighbours and their distance in Å.
Fractional positions:
Mg 0.0000 0.0000 0.0000  6 O 2.02-2.15
Mg 0.0000 0.5000 0.5000  6 O 2.02-2.15
Mg 0.2200 0.0593 0.7413  5 O 2.06-2.25
Mg 0.2200 0.4407 0.2413  5 O 2.06-2.25
Mg 0.7800 0.5593 0.7587  5 O 2.06-2.25
Mg 0.7800 0.9407 0.2587  5 O 2.06-2.25
P 0.5000 0.0000 0.5000  6 O 1.71-1.73
P 0.5000 0.5000 0.0000  6 O 1.71-1.73
O 0.1674 0.1820 0.4443  1 P 1.72
O 0.1674 0.3180 0.9443  1 P 1.72
O 0.2559 0.7281 0.4226  1 P 1.73
O 0.2559 0.7719 0.9226  1 P 1.73
O 0.4083 0.0574 0.2817  1 P 1.71
O 0.4083 0.4426 0.7817  1 P 1.71
O 0.5917 0.5574 0.2183  1 P 1.71
O 0.5917 0.9426 0.7183  1 P 1.71
O 0.7441 0.2281 0.0774  1 P 1.73
O 0.7441 0.2719 0.5774  1 P 1.73
O 0.8326 0.6820 0.0557  1 P 1.72
O 0.8326 0.8180 0.5557  1 P 1.72

---

4.
Below is a relaxed structure of MgPO2, with properties calculated at the PBE level.

* formation energy (no corrections): -0.55 eV per atom
* M_tot: 0.0 μB per cell
* distance to the lowest polymorph of the same formula: 1144.3 meV per atom
* crystal system: cubic
* total DFT energy (no corrections): -4.780 eV/atom

a b c (Å): 3.9157 3.9157 3.9157
angles (deg): 60.00 60.00 60.00
Last column: nearest neighbours and their distance in Å.
Fractional positions:
Mg 0.0000 0.0000 0.0000  8 O 2.40
P 0.5000 0.5000 0.5000  8 O 2.40
O 0.2500 0.2500 0.2500  4 Mg 2.40, 4 P 2.40
O 0.7500 0.7500 0.7500  4 Mg 2.40, 4 P 2.40

---

> Look up the formation energy (no corrections) of the second one.

-0.63 eV per atom

---

> total DFT energy (no corrections) of number 3 (Mg3PO6)?

-6.218 eV/atom

---

> formation energy (no corrections) of number 1 (MgPO2)?

-1.05 eV per atom

---

> Which formula does entry 1 have?

MgPO2